# 1
Rb2LaVAg after structural relaxation, computed with GGA-PBE.

Density in g/cm³: 3.3
VASP energy in Ry per atom: -0.2021
Formation energy from the elements in eV per atom: 1.016

Structure (POSCAR):
```
Rb2LaVAg
1.0
6.7255 0.0000 0.0000
0.0000 5.2435 0.0000
0.0000 0.0000 6.7255
V Rb Ag La
1 2 1 1
Cartesian
0.0000 0.0000 0.0000
0.0000 0.0000 3.3627
3.3627 0.0000 0.0000
3.3627 2.6218 3.3627
0.0000 2.6218 0.0000
```

# 2
PuVTc2 after structural relaxation, computed with GGA-PBE.

E above lowest polymorph in eV per formula unit: 0.018
Density in g/cm³: 12.6
VASP energy in Ry per atom: -0.8133
Formation energy from the elements in eV per atom: -0.019

Structure (POSCAR):
```
PuVTc2
1.0
-2.1287 -3.1206 -2.4533
2.2807 -2.4147 -3.0424
0.7979 -4.3719 0.7338
V Tc Pu
1 2 1
Cartesian
0.0000 0.0000 0.0000
0.2375 -2.4768 -1.1905
0.7124 -7.4304 -3.5714
0.4749 -4.9536 -2.3809
```

# 3
PuPRhN after structural relaxation, computed with GGA-PBE.

Density in g/cm³: 10.8
VASP energy in Ry per atom: -0.7235

Structure (POSCAR):
```
PuPRhN
1.0
3.8424 0.0000 0.0000
0.0000 3.8424 0.0000
0.0000 0.0000 8.1421
Pu P Rh N
2 2 2 2
Cartesian
0.0000 1.9212 6.8717
1.9212 0.0000 1.2705
0.0000 1.9212 2.7239
1.9212 0.0000 5.4182
0.0000 0.0000 4.0711
1.9212 1.9212 4.0711
1.9212 0.0000 7.1123
0.0000 1.9212 1.0299
```

# 4
ZrTc2Mo2 after structural relaxation, computed with GGA-PBE.

E above lowest polymorph in eV per formula unit: 0.025
Density in g/cm³: 9.4
VASP energy in Ry per atom: -0.7381
Formation energy from the elements in eV per atom: 0.146

Structure (POSCAR):
```
ZrTc2Mo2
1.0
7.5753 0.0000 0.0000
0.0000 7.5753 0.0000
0.0000 0.0000 2.9536
Mo Tc Zr
4 4 2
Cartesian
1.1648 4.9525 1.4768
4.9525 6.4104 1.4768
6.4104 2.6228 1.4768
2.6228 1.1648 1.4768
2.7036 6.4912 0.0000
6.4912 4.8717 0.0000
4.8717 1.0841 0.0000
1.0841 2.7036 0.0000
0.0000 0.0000 0.0000
3.7876 3.7876 0.0000
```

# 5
Na2BSbSO7 after structural relaxation, computed with GGA-PBE.

Density in g/cm³: 2.9
VASP energy in Ry per atom: -0.4493

Structure (POSCAR):
```
Na2BSbSO7
1.0
6.8995 0.0000 0.0000
0.0000 5.5028 -0.0383
0.0000 0.3040 9.7841
Na B Sb S O
4 2 2 2 14
Cartesian
3.3833 1.7300 7.9759
0.0665 1.7300 7.9759
3.5162 4.0768 1.7699
6.8330 4.0768 1.7699
5.1746 4.5149 8.7367
1.7249 1.2919 1.0091
5.1746 4.5934 6.1969
1.7249 1.2133 3.5489
1.7249 4.2192 5.9832
5.1746 1.5876 3.7626
1.7249 1.6224 9.4915
5.1746 5.6976 7.8915
5.1746 3.3722 7.8403
0.5317 5.0025 6.4830
2.9181 5.0025 6.4830
5.1746 1.6160 5.2532
1.7249 2.8569 6.5367
5.1746 2.9499 3.2090
1.7249 4.1907 4.4926
3.9814 0.8042 3.2627
6.3678 0.8042 3.2627
1.7249 2.4346 1.9054
1.7249 0.1092 1.8543
5.1746 4.1844 0.2543
```

# 6
BaSmZn after structural relaxation, computed with GGA-PBE.

E above lowest polymorph in eV per formula unit: 0.000
Density in g/cm³: 5.7
VASP energy in Ry per atom: -0.2008
Formation energy from the elements in eV per atom: -0.093

Structure (POSCAR):
```
BaSmZn
1.0
3.8872 0.0000 0.0000
0.0000 3.8872 0.0000
-1.9436 -1.9436 6.8373
Zn Ba Sm
1 1 1
Cartesian
1.9436 1.9436 2.5872
0.0000 0.0000 0.2876
0.0000 0.0000 3.9625
```

# 7
Sr2Zn6CuPd after structural relaxation, computed with GGA-PBE.

Density in g/cm³: 5.5
VASP energy in Ry per atom: -0.1628
Formation energy from the elements in eV per atom: -0.185

Structure (POSCAR):
```
Sr2Zn6CuPd
1.0
6.8179 -0.0055 -0.0026
-0.0055 6.8197 -0.0028
3.4044 3.4054 4.8044
Sr Zn Cu Pd
2 6 1 1
Cartesian
6.8148 3.4030 2.3986
3.4021 6.8167 2.4004
3.4067 3.4077 2.3489
8.4772 8.4802 4.7995
1.7373 5.0782 -0.0027
8.4795 5.1415 4.8017
1.7396 1.7395 -0.0005
6.8101 6.8120 2.4501
3.4062 3.4071 -0.0027
0.0000 0.0000 0.0000
```

# 8
SrHfZr2Ag after structural relaxation, computed with GGA-PBE.

Density in g/cm³: 5.6
VASP energy in Ry per atom: -0.3850
Formation energy from the elements in eV per atom: 1.079

Structure (POSCAR):
```
SrHfZr2Ag
1.0
5.1931 0.0000 0.0000
0.0000 6.1244 0.0000
0.0000 0.0000 5.1931
Sr Hf Zr Ag
1 1 2 1
Cartesian
0.0000 3.0622 0.0000
0.0000 0.0000 0.0000
0.0000 0.0000 2.5966
2.5966 0.0000 0.0000
2.5966 3.0622 2.5966
```

Question: What is the VASP energy in the eighth record?
Answer: -0.3850 Ry per atom